# 1
Compound: TbNdYHo
Source: Alexandria
Functional: GGA-PBE
Structure: relaxed

The space group is I-4m2 (No. 119) and the conventional cell measures 5.0835, 5.0835 and 10.0862 Å, with angles of 90.00, 90.00 and 90.00 degrees. The distinct sites, in fractional coordinates, are Tb at (0.0000, 0.0000, 0.0000), Nd at (0.0000, 0.5000, 0.7500), Y at (0.0000, 0.5000, 0.2500) and Ho at (0.0000, 0.0000, 0.5000).

Its formation enthalpy at 0 K is 0.020 eV per atom. The value obtained for the electronic total energy is -5.09 eV/atom. For the density of states at the Fermi level, the calculation gives 5.794 states/eV/f.u.

=====

# 2
Compound: Zr2AlPt
Source: Alexandria
Functional: GGA-PBE
Structure: relaxed

The space group is Cmmm (No. 65) and the conventional cell measures 5.8658, 8.1044 and 3.1813 Å, with angles of 90.00, 90.00 and 90.00 degrees. The distinct sites, in fractional coordinates, are Zr at (0.2500, 0.2500, 0.0000), Al at (0.0000, 0.0000, 0.5000) and Pt at (0.0000, 0.5000, 0.5000).

Its formation enthalpy at 0 K is -0.669 eV per atom. The value obtained for the electronic total energy is -7.39 eV/atom. For the density of states at the Fermi level, the calculation gives 3.274 states/eV/f.u.

=====

# 3
Compound: NdEr4Rh5
Source: Alexandria
Functional: GGA-PBE
Structure: relaxed

The space group is P4/mmm (No. 123) and the conventional cell measures 3.3824, 3.3824 and 17.5346 Å, with angles of 90.00, 90.00 and 90.00 degrees. The distinct sites, in fractional coordinates, are Nd at (0.0000, 0.0000, 0.0000), Er at (0.0000, 0.0000, 0.2051), Er at (0.0000, 0.0000, 0.4019), Rh at (0.5000, 0.5000, 0.1101), Rh at (0.5000, 0.5000, 0.3041) and Rh at (0.5000, 0.5000, 0.5000).

Its formation enthalpy at 0 K is -0.865 eV per atom. The value obtained for the electronic total energy is -6.84 eV/atom. For the density of states at the Fermi level, the calculation gives 5.581 states/eV/f.u.

=====

# 4
Compound: LaDyTmCd
Source: Alexandria
Functional: GGA-PBE
Structure: relaxed

The space group is F-43m (No. 216) and the conventional cell measures 7.8158, 7.8158 and 7.8158 Å, with angles of 90.00, 90.00 and 90.00 degrees. The distinct sites, in fractional coordinates, are La at (0.0000, 0.0000, 0.0000), Dy at (0.0000, 0.0000, 0.5000), Tm at (0.2500, 0.2500, 0.7500) and Cd at (0.2500, 0.2500, 0.2500).

Its formation enthalpy at 0 K is -0.047 eV per atom. The value obtained for the electronic total energy is -3.78 eV/atom. For the density of states at the Fermi level, the calculation gives 5.218 states/eV/f.u.

=====

# 5
Compound: CdIn6Bi
Source: Alexandria
Functional: GGA-PBE
Structure: relaxed

The space group is P4/mmm (No. 123) and the conventional cell measures 5.0067, 5.0067 and 8.8326 Å, with angles of 90.00, 90.00 and 90.00 degrees. The distinct sites, in fractional coordinates, are Cd at (0.0000, 0.0000, 0.0000), In at (0.0000, 0.5000, 0.2416), In at (0.5000, 0.5000, 0.0000), In at (0.5000, 0.5000, 0.5000) and Bi at (0.0000, 0.0000, 0.5000).

Its formation enthalpy at 0 K is 0.026 eV per atom. The value obtained for the electronic total energy is -2.63 eV/atom. For the density of states at the Fermi level, the calculation gives 3.679 states/eV/f.u.

=====

# 6
Compound: NaPaPt2
Source: Alexandria
Functional: GGA-PBE
Structure: relaxed

The space group is R-3m (No. 166, hexagonal axes) and the conventional cell measures 3.8792, 3.8792 and 22.3961 Å, with angles of 90.00, 90.00 and 120.00 degrees. The distinct sites, in fractional coordinates, are Na at (0.0000, 0.0000, 0.0000), Pa at (0.0000, 0.0000, 0.5000) and Pt at (0.0000, 0.0000, 0.2393).

Its formation enthalpy at 0 K is -0.643 eV per atom. The value obtained for the electronic total energy is -6.37 eV/atom. For the density of states at the Fermi level, the calculation gives 1.524 states/eV/f.u.

=====

# 7
Compound: PrY7Er3
Source: Alexandria
Functional: GGA-PBE
Structure: relaxed

The space group is Immm (No. 71) and the conventional cell measures 5.8068, 11.1468 and 11.3000 Å, with angles of 90.00, 90.00 and 90.00 degrees. The distinct sites, in fractional coordinates, are Pr at (0.0000, 0.0000, 0.0000), Y at (0.0000, 0.2022, 0.3022), Y at (0.0000, 0.2948, 0.0000), Y at (0.0000, 0.5000, 0.5000), Er at (0.0000, 0.0000, 0.5000) and Er at (0.0000, 0.5000, 0.2050).

Its formation enthalpy at 0 K is 0.255 eV per atom. The value obtained for the electronic total energy is -5.54 eV/atom. For the density of states at the Fermi level, the calculation gives 18.126 states/eV/f.u.

=====

# 8
Compound: NpTl2Ga2O6
Source: Alexandria
Functional: GGA-PBE
Structure: relaxed

The space group is R-3m (No. 166, hexagonal axes) and the conventional cell measures 5.9861, 5.9861 and 18.9111 Å, with angles of 90.00, 90.00 and 120.00 degrees. The distinct sites, in fractional coordinates, are Np at (0.0000, 0.0000, 0.0000), Tl at (0.0000, 0.0000, 0.2408), Ga at (0.0000, 0.0000, 0.4353) and O at (0.0019, 0.5009, 0.7288).

Its energy relative to the elements, uncorrected is -1764 meV per atom. The value obtained for the electronic total energy is -6.63 eV/atom.

=====

# 9
Compound: La5Tb2Pr4
Source: Alexandria
Functional: GGA-PBE
Structure: relaxed

The space group is C2/m (No. 12) and the conventional cell measures 24.7909, 3.6236 and 8.9390 Å, with angles of 90.00, 94.55 and 90.00 degrees. The distinct sites, in fractional coordinates, are La at (0.0000, 0.0000, 0.0000), La at (0.1312, 0.5000, 0.0486), La at (0.1826, 0.5000, 0.4750), Tb at (0.0866, 0.0000, 0.6969), Pr at (0.0402, 0.5000, 0.3467) and Pr at (0.2266, 0.0000, 0.8248).

Its formation enthalpy at 0 K is 0.086 eV per atom. The value obtained for the electronic total energy is -4.73 eV/atom. For the density of states at the Fermi level, the calculation gives 17.684 states/eV/f.u.

=====

# 10
Compound: Li4CaAu
Source: Alexandria
Functional: GGA-PBE
Structure: relaxed

The space group is F-43m (No. 216) and the conventional cell measures 7.7289, 7.7289 and 7.7289 Å, with angles of 90.00, 90.00 and 90.00 degrees. The distinct sites, in fractional coordinates, are Li at (0.1224, 0.1224, 0.1224), Ca at (0.0000, 0.0000, 0.5000) and Au at (0.2500, 0.2500, 0.7500).

Its formation enthalpy at 0 K is -0.162 eV per atom. The value obtained for the electronic total energy is -2.32 eV/atom. For the density of states at the Fermi level, the calculation gives 3.520 states/eV/f.u.

=====

# 11
Compound: CaMnCd2
Source: Alexandria
Functional: GGA-PBE
Structure: relaxed

The space group is P4/mmm (No. 123) and the conventional cell measures 4.5760, 4.5760 and 4.4273 Å, with angles of 90.00, 90.00 and 90.00 degrees. The distinct sites, in fractional coordinates, are Ca at (0.0000, 0.0000, 0.0000), Mn at (0.5000, 0.5000, 0.0000) and Cd at (0.0000, 0.5000, 0.5000).

Its formation enthalpy at 0 K is 0.091 eV per atom. The value obtained for the electronic total energy is -3.16 eV/atom. For the density of states at the Fermi level, the calculation gives 2.792 states/eV/f.u.

=====

# 12
Compound: BaAl2
Source: Alexandria
Functional: GGA-PBE
Structure: relaxed

The space group is C2/m (No. 12) and the conventional cell measures 11.9559, 4.4997 and 7.0259 Å, with angles of 90.00, 100.49 and 90.00 degrees. The distinct sites, in fractional coordinates, are Ba at (0.1146, 0.0000, 0.3186), Al at (0.0938, 0.5000, 0.9193) and Al at (0.2016, 0.0000, 0.8497).

Its formation enthalpy at 0 K is -0.195 eV per atom. The value obtained for the electronic total energy is -3.33 eV/atom. For the density of states at the Fermi level, the calculation gives 1.184 states/eV/f.u.

=====

# 13
Compound: CaLaPu2Se4
Source: Alexandria
Functional: GGA-PBE
Structure: relaxed

The space group is P2/m (No. 10) and the conventional cell measures 7.2896, 4.2029 and 7.3159 Å, with angles of 90.00, 109.37 and 90.00 degrees. The distinct sites, in fractional coordinates, are Ca at (0.0000, 0.0000, 0.0000), La at (0.5000, 0.5000, 0.0000), Pu at (0.0000, 0.5000, 0.5000), Pu at (0.5000, 0.0000, 0.5000), Se at (0.2423, 0.0000, 0.7419) and Se at (0.2467, 0.5000, 0.2540).

Its energy relative to the elements, uncorrected is -1741 meV per atom. The value obtained for the electronic total energy is -7.93 eV/atom. For the density of states at the Fermi level, the calculation gives 18.174 states/eV/f.u.